(1)
This record from the Alexandria database describes crystalline KLi3Ta at its relaxed geometry. The functional is PBE.

Its raw total energy is -2.596 eV/atom. The calculation puts the energy above the most stable polymorph in this dataset at 0.0000 eV per atom. Its formation enthalpy at 0 K is 1.1418 eV/atom.

a = 5.511 Å, b = 5.511 Å, c = 5.511 Å
α = 90.00°, β = 90.00°, γ = 90.00°
Space group Pm-3m (No. 221)
Unique sites:
K 0.000 0.000 0.000 [1 per cell]
Li 0.000 0.500 0.500 [3 per cell]
Ta 0.500 0.500 0.500 [1 per cell]

=====

(2)
This record from the Alexandria database describes crystalline KLi2TaTc at its relaxed geometry. The functional is PBE.

Its raw total energy is -2.726 eV/atom. Its formation enthalpy at 0 K is 2.7029 eV/atom.

a = 4.864 Å, b = 4.864 Å, c = 5.332 Å
α = 90.00°, β = 90.00°, γ = 90.00°
Space group P4/mmm (No. 123)
Unique sites:
K 0.000 0.000 0.000 [1 per cell]
Li 0.000 0.500 0.500 [2 per cell]
Ta 0.000 0.000 0.500 [1 per cell]
Tc 0.500 0.500 0.000 [1 per cell]

=====

(3)
This record from the Alexandria database describes crystalline K2LiTaTe at its relaxed geometry. The functional is PBE.

Its raw total energy is -3.211 eV/atom. The formation energy from raw total energies is 59 kJ per mole of atoms.

a = 6.678 Å, b = 6.678 Å, c = 5.327 Å
α = 90.00°, β = 90.00°, γ = 90.00°
Space group P4/mmm (No. 123)
Unique sites:
K 0.000 0.500 0.000 [2 per cell]
Li 0.000 0.000 0.500 [1 per cell]
Ta 0.500 0.500 0.500 [1 per cell]
Te 0.500 0.500 0.000 [1 per cell]